Entry one
{
  "formula": "Ca2AlBiN",
  "functional": "PBE",
  "state": "relaxed",
  "spacegroup": "P4/mmm",
  "total_magnetization_mub_per_fu": 0.0,
  "lattice": [[-4.4855, 1.1733, -2.1439], [-2.1696, 0.1513, 4.6220], [0.9004, 3.9764, 0.2925]],
  "species": ["Ca", "Ca", "N", "Bi", "Al"],
  "fractional_positions": [[0.0000, 0.5000, 0.0000], [0.5000, 0.0000, 0.0000], [0.0000, 0.0000, 0.0000], [0.5000, 0.5000, 0.5000], [0.0000, 0.0000, 0.5000]]
}

---

Entry two
{
  "formula": "Ca2AlBiN",
  "functional": "PBE",
  "state": "relaxed",
  "spacegroup": "P4/mmm",
  "total_magnetization_mub_per_fu": 0.0,
  "lattice": [[-3.7378, -1.9106, 2.3190], [2.7679, -4.0568, 1.1190], [1.4433, 2.1047, 4.0604]],
  "species": ["Ca", "Ca", "N", "Bi", "Al"],
  "fractional_positions": [[0.0000, 0.0000, 0.5000], [0.5000, 0.0000, 0.0000], [0.0000, 0.0000, 0.0000], [0.0000, 0.5000, 0.0000], [0.5000, 0.5000, 0.5000]]
}

---

How do the structures above rank in stability at the extremes? entry one comes first and entry two comes last.